Here is an optimized crystal structure of YPtAu2 from the Alexandria database. Energies are from PBE.

```
data_YPtAu2
_symmetry_space_group_name_H-M 'I 4/m m m'
_symmetry_Int_Tables_number 139
_symmetry_space_group_name_Hall '-I 4 2'
_cell_length_a 3.9463
_cell_length_b 3.9463
_cell_length_c 11.5463
_cell_angle_alpha 90.00
_cell_angle_beta 90.00
_cell_angle_gamma 90.00
loop_
_atom_site_label
_atom_site_type_symbol
_atom_site_fract_x
_atom_site_fract_y
_atom_site_fract_z
Y1 Y 0.0000 0.0000 0.0000
Pt1 Pt 0.0000 0.0000 0.5000
Au1 Au 0.0000 0.0000 0.2651
```

Summary:
- N(E_F) (states/eV per atom) = 0.3416
- polymorph energy (0 for the lowest one) (meV per atom) = 342
- energy of formation from the pure elements (eV per atom) = -0.430

***

Here is an optimized crystal structure of Rb2SnS from the Alexandria database. Energies are from PBE.

```
data_Rb2SnS
_symmetry_space_group_name_H-M 'I -4 2 d'
_symmetry_Int_Tables_number 122
_symmetry_space_group_name_Hall 'I -4 2bw'
_cell_length_a 11.8009
_cell_length_b 11.8009
_cell_length_c 5.6422
_cell_angle_alpha 90.00
_cell_angle_beta 90.00
_cell_angle_gamma 90.00
loop_
_atom_site_label
_atom_site_type_symbol
_atom_site_fract_x
_atom_site_fract_y
_atom_site_fract_z
Rb1 Rb 0.0952 0.2500 0.1250
Sn1 Sn 0.0000 0.0000 0.5000
S1 S 0.0000 0.0000 0.0000
```

Summary:
- N(E_F) (states/eV per atom) = 0.7887
- polymorph energy (0 for the lowest one) (meV per atom) = 0
- energy relative to the elements, uncorrected (eV per atom) = -0.312

***

Here is an optimized crystal structure of Hf5Nb2Sb4 from the Alexandria database. Energies are from PBE.

```
data_Hf5Nb2Sb4
_symmetry_space_group_name_H-M 'C 1 2/m 1'
_symmetry_Int_Tables_number 12
_symmetry_space_group_name_Hall '-C 2y'
_cell_length_a 22.7354
_cell_length_b 3.1243
_cell_length_c 7.0017
_cell_angle_alpha 90.00
_cell_angle_beta 92.84
_cell_angle_gamma 90.00
loop_
_atom_site_label
_atom_site_type_symbol
_atom_site_fract_x
_atom_site_fract_y
_atom_site_fract_z
Hf1 Hf 0.0000 0.0000 0.0000
Hf2 Hf 0.1412 0.5000 0.1004
Hf3 Hf 0.2335 0.5000 0.8160
Nb1 Nb 0.0896 0.5000 0.7201
Sb1 Sb 0.0391 0.5000 0.3330
Sb2 Sb 0.1714 0.0000 0.4885
```

Summary:
- N(E_F) (states/eV per atom) = 0.7920
- energy relative to the elements, uncorrected (eV per atom) = -0.037

***

Repeat the second record exactly.
Here is an optimized crystal structure of Rb2SnS from the Alexandria database. Energies are from PBE.

```
data_Rb2SnS
_symmetry_space_group_name_H-M 'I -4 2 d'
_symmetry_Int_Tables_number 122
_symmetry_space_group_name_Hall 'I -4 2bw'
_cell_length_a 11.8009
_cell_length_b 11.8009
_cell_length_c 5.6422
_cell_angle_alpha 90.00
_cell_angle_beta 90.00
_cell_angle_gamma 90.00
loop_
_atom_site_label
_atom_site_type_symbol
_atom_site_fract_x
_atom_site_fract_y
_atom_site_fract_z
Rb1 Rb 0.0952 0.2500 0.1250
Sn1 Sn 0.0000 0.0000 0.5000
S1 S 0.0000 0.0000 0.0000
```

Summary:
- N(E_F) (states/eV per atom) = 0.7887
- polymorph energy (0 for the lowest one) (meV per atom) = 0
- energy relative to the elements, uncorrected (eV per atom) = -0.312